No. 1
Computed, not measured: a relaxed structure of NdYHoPu at the PBE-GGA level of DFT.

Output
SG: No. 216
Calculated total energy, eV/atom: -7.322
Formation energy, meV/atom: 213

```
NdYHoPu
1.0
5.649 0.000 0.000
2.825 4.892 0.000
2.825 1.631 4.612
Y Pu Ho Nd
1 1 1 1
direct
0.250 0.250 0.250 Y
0.500 0.500 0.500 Pu
0.750 0.750 0.750 Ho
0.000 0.000 0.000 Nd
```

=====

No. 2
Computed, not measured: a relaxed structure of Zn3NiRh at the PBE-GGA level of DFT.

Output
SG: No. 221
Calculated total energy, eV/atom: -2.958
Formation energy, meV/atom: 433

```
Zn3NiRh
1.0
-3.237 0.007 -2.962
-1.785 -3.506 1.942
-2.364 2.638 2.589
Rh Zn Ni
1 3 1
direct
0.500 0.500 0.500 Rh
0.500 0.000 0.000 Zn
0.000 0.500 0.000 Zn
0.000 0.000 0.500 Zn
0.000 0.000 0.000 Ni
```

=====

No. 3
Computed, not measured: a relaxed structure of LiGa2I2 at the PBE-GGA level of DFT.

Output
SG: No. 139
Calculated total energy, eV/atom: -2.620
E_form (uncorrected), eV per atom: -0.407

```
LiGa2I2
1.0
-2.366 2.860 -1.234
-3.007 -1.693 1.842
-0.754 5.489 7.970
Ga I Li
2 2 1
direct
0.250 0.750 0.500 Ga
0.750 0.250 0.500 Ga
0.401 0.401 0.199 I
0.599 0.599 0.801 I
0.000 0.000 0.000 Li
```

=====

No. 4
Computed, not measured: a relaxed structure of NbVCo at the PBE-GGA level of DFT.

Output
SG: No. 63
Calculated total energy, eV/atom: -8.778
Formation energy, meV/atom: -13

```
NbVCo
1.0
4.151 0.000 0.000
0.000 3.115 0.000
-2.075 0.000 6.559
Co V Nb
2 2 2
direct
0.596 0.250 0.191 Co
0.404 0.750 0.809 Co
0.748 0.750 0.496 V
0.252 0.250 0.504 V
0.084 0.750 0.168 Nb
0.916 0.250 0.832 Nb
```

=====

Repeat the first record exactly.
Computed, not measured: a relaxed structure of NdYHoPu at the PBE-GGA level of DFT.

Output
SG: No. 216
Calculated total energy, eV/atom: -7.322
Formation energy, meV/atom: 213

```
NdYHoPu
1.0
5.649 0.000 0.000
2.825 4.892 0.000
2.825 1.631 4.612
Y Pu Ho Nd
1 1 1 1
direct
0.250 0.250 0.250 Y
0.500 0.500 0.500 Pu
0.750 0.750 0.750 Ho
0.000 0.000 0.000 Nd
```

=====

Among the records above, which one has the highest calculated total energy?
LiGa2I2

=====

Repeat the second record exactly.
Computed, not measured: a relaxed structure of Zn3NiRh at the PBE-GGA level of DFT.

Output
SG: No. 221
Calculated total energy, eV/atom: -2.958
Formation energy, meV/atom: 433

```
Zn3NiRh
1.0
-3.237 0.007 -2.962
-1.785 -3.506 1.942
-2.364 2.638 2.589
Rh Zn Ni
1 3 1
direct
0.500 0.500 0.500 Rh
0.500 0.000 0.000 Zn
0.000 0.500 0.000 Zn
0.000 0.000 0.500 Zn
0.000 0.000 0.000 Ni
```